Below is Rb3Tm2FeO6 after structural relaxation, with properties calculated at the PBE+U level.

Geometry as CIF:
```
data_Rb3Tm2FeO6
_chemical_formula_sum 'Rb3 Tm2 Fe1 O6'
_symmetry_space_group_name_H-M 'P 1'
_symmetry_Int_Tables_number 1
_cell_length_a 5.8195
_cell_length_b 5.8195
_cell_length_c 6.7760
_cell_angle_alpha 98.21
_cell_angle_beta 98.21
_cell_angle_gamma 119.97
loop_
_symmetry_equiv_pos_as_xyz
'x,y,z'
loop_
_atom_site_label
_atom_site_type_symbol
_atom_site_fract_x
_atom_site_fract_y
_atom_site_fract_z
Rb1 Rb 0.0000 0.0000 0.0000
Rb2 Rb 0.3351 0.6649 0.0000
Rb3 Rb 0.6649 0.3351 0.0000
Tm1 Tm 0.1668 0.8332 0.5000
Tm2 Tm 0.8332 0.1668 0.5000
Fe1 Fe 0.5000 0.5000 0.5000
O1 O 0.1257 0.4432 0.3296
O2 O 0.2387 0.2387 0.6712
O3 O 0.4432 0.1257 0.3296
O4 O 0.5568 0.8743 0.6704
O5 O 0.7613 0.7613 0.3288
O6 O 0.8743 0.5568 0.6704
```

Values from the calculation:
Calculated density ... 6.5 g/cm3
Electronic total energy ... -6.190 eV per atom
Crystal system ... monoclinic
Magnetization ... 4.92 Bohr magnetons per cell
DOS at the Fermi energy ... 0.000 states/eV per cell
Calculated volume ... 191 Å³/f.u.